## MnHIO2 (PBE with a Hubbard U)

Data for MnHIO2 after structural relaxation.

- Energy above the most stable polymorph in this dataset: 3.173 eV/f.u.
- Density of states at the Fermi level: 3.05 states/eV/cell

Cell: 4.330 4.330 3.440 Å, 90.00 90.00 90.00°
Positions (direct):
1 Mn 0.000 0.000 0.000
2 H 0.500 0.500 0.500
3 I 0.500 0.500 0.000
4 O 0.000 0.500 0.500
5 O 0.500 0.000 0.500